1.
# Hg3GeN (PBE, relaxed)
data_Hg3GeN
_space_group_name_H-M_alt 'P m -3 m'
_space_group_IT_number 221
_space_group_name_Hall '-P 4 2 3'
_cell_length_a 4.759
_cell_length_b 4.759
_cell_length_c 4.759
_cell_angle_alpha 90.00
_cell_angle_beta 90.00
_cell_angle_gamma 90.00
loop_
_atom_site_label
_atom_site_fract_x
_atom_site_fract_y
_atom_site_fract_z
Hg1 0.000 0.000 0.500
Ge1 0.500 0.500 0.500
N1 0.000 0.000 0.000
# Polymorph energy (0 for the lowest one): 0 meV/atom
# Raw formation energy: 974 meV per atom
# Total magnetization: 0.00 μB per cell

***

2.
# HgGeN3 (PBE, relaxed)
data_HgGeN3
_space_group_name_H-M_alt 'P m -3 m'
_space_group_IT_number 221
_space_group_name_Hall '-P 4 2 3'
_cell_length_a 3.908
_cell_length_b 3.908
_cell_length_c 3.908
_cell_angle_alpha 90.00
_cell_angle_beta 90.00
_cell_angle_gamma 90.00
loop_
_atom_site_label
_atom_site_fract_x
_atom_site_fract_y
_atom_site_fract_z
Hg1 0.000 0.000 0.000
Ge1 0.500 0.500 0.500
N1 0.000 0.500 0.500
# Raw formation energy: 1627 meV per atom
# Total magnetization: 3.06 μB per cell

***

3.
# HgGe3N (PBE, relaxed)
data_HgGe3N
_space_group_name_H-M_alt 'P m -3 m'
_space_group_IT_number 221
_space_group_name_Hall '-P 4 2 3'
_cell_length_a 5.143
_cell_length_b 5.143
_cell_length_c 5.143
_cell_angle_alpha 90.00
_cell_angle_beta 90.00
_cell_angle_gamma 90.00
loop_
_atom_site_label
_atom_site_fract_x
_atom_site_fract_y
_atom_site_fract_z
Hg1 0.000 0.000 0.000
Ge1 0.000 0.000 0.500
N1 0.500 0.500 0.500
# Polymorph energy (0 for the lowest one): 1327 meV/atom
# Raw formation energy: 1980 meV per atom
# Total magnetization: 0.00 μB per cell

***

4.
# HgGe2N (PBE, relaxed)
data_HgGe2N
_space_group_name_H-M_alt 'F m -3 m'
_space_group_IT_number 225
_space_group_name_Hall '-F 4 2 3'
_cell_length_a 6.539
_cell_length_b 6.539
_cell_length_c 6.539
_cell_angle_alpha 90.00
_cell_angle_beta 90.00
_cell_angle_gamma 90.00
loop_
_atom_site_label
_atom_site_fract_x
_atom_site_fract_y
_atom_site_fract_z
Hg1 0.000 0.000 0.000
Ge1 0.250 0.250 0.250
N1 0.000 0.000 0.500
# Polymorph energy (0 for the lowest one): 769 meV/atom
# Raw formation energy: 1201 meV per atom
# Total magnetization: 0.00 μB per cell

***

5.
# HgGeN (PBE, relaxed)
data_HgGeN
_space_group_name_H-M_alt 'R 3 m'
_space_group_IT_number 160
_space_group_name_Hall 'R 3 -2"'
_cell_length_a 3.0952
_cell_length_b 3.0952
_cell_length_c 18.5486
_cell_angle_alpha 90.00
_cell_angle_beta 90.00
_cell_angle_gamma 120.00
loop_
_atom_site_label
_atom_site_fract_x
_atom_site_fract_y
_atom_site_fract_z
Hg1 0.0000 0.0000 0.0000
Ge1 0.0000 0.0000 0.8494
N1 0.0000 0.0000 0.1403
# Polymorph energy (0 for the lowest one): 111 meV/atom
# Raw formation energy: 253 meV per atom
# Total magnetization: 0.00 μB per cell

***

6.
# HgGe2N (PBE, relaxed)
data_HgGe2N
_space_group_name_H-M_alt 'I -4 2 d'
_space_group_IT_number 122
_space_group_name_Hall 'I -4 2bw'
_cell_length_a 5.598
_cell_length_b 5.598
_cell_length_c 10.069
_cell_angle_alpha 90.00
_cell_angle_beta 90.00
_cell_angle_gamma 90.00
loop_
_atom_site_label
_atom_site_fract_x
_atom_site_fract_y
_atom_site_fract_z
Hg1 0.000 0.000 0.000
Ge1 0.161 0.250 0.625
N1 0.000 0.000 0.500
# Polymorph energy (0 for the lowest one): 0 meV/atom
# Raw formation energy: 431 meV per atom
# Total magnetization: 0.00 μB per cell